An optimized crystal structure of La2Dy6Ho3Sc, computed with PBE-GGA.

The structure in POSCAR format:
```
La2Dy6Ho3Sc
1.0
-6.1364 -0.0417 -0.2945
2.9091 -3.6312 4.0119
0.6366 9.6594 6.7142
Dy La Ho Sc
6 2 3 1
direct
0.5865 0.9161 0.7473
0.2459 0.2459 0.7469
0.7541 0.7541 0.2531
0.9161 0.5865 0.7473
0.4135 0.0839 0.2527
0.0839 0.4135 0.2527
0.6662 0.3338 0.0000
0.3338 0.6662 0.0000
0.1662 0.8338 0.5000
0.8338 0.1662 0.5000
0.5000 0.5000 0.5000
0.0000 0.0000 0.0000
```

Summary:
Density of states at the Fermi level, states/eV/atom: 1.371
E_form, eV per atom: 0.0301
SG: C2/m
DFT total energy, eV per atom: -4.764
Total moment, μB per cell: 0.0


An optimized crystal structure of DyEr2Ir, computed with PBE-GGA.

The structure in POSCAR format:
```
DyEr2Ir
1.0
-0.2170 -1.8271 -3.2159
2.8567 -2.0546 -1.1597
-3.0618 -9.5828 3.5169
Ir Er Dy
1 2 1
direct
0.5000 0.5000 0.5000
0.1132 0.1132 0.6605
0.8868 0.8868 0.3395
0.0000 0.0000 0.0000
```

Summary:
Density of states at the Fermi level, states/eV/atom: 1.389
E_form, eV per atom: -0.1377
SG: R-3m
DFT total energy, eV per atom: -5.785
Total moment, μB per cell: 0.1
Relative energy among the computed polymorphs, meV/atom: 467.3


An optimized crystal structure of Li4SiSb, computed with PBE-GGA.

The structure in POSCAR format:
```
Li4SiSb
1.0
0.0000 3.6922 3.6922
3.6922 0.0000 3.6922
3.6922 3.6922 0.0000
Li Sb Si
4 1 1
direct
0.3745 0.3745 0.8766
0.3745 0.8766 0.3745
0.8766 0.3745 0.3745
0.3745 0.3745 0.3745
0.7500 0.7500 0.7500
0.0000 0.0000 0.0000
```

Summary:
Formation energy without anion corrections, eV/f.u.: -0.053
Density of states at the Fermi level, states/eV/atom: 0.531
SG: F-43m
DFT total energy, eV per atom: -2.876
Total moment, μB per cell: 0.0
Relative energy among the computed polymorphs, meV/atom: 365.1


An optimized crystal structure of CoSiPt4, computed with PBE-GGA.

The structure in POSCAR format:
```
CoSiPt4
1.0
0.0000 3.7015 3.7015
3.7015 0.0000 3.7015
3.7015 3.7015 0.0000
Pt Co Si
4 1 1
direct
0.3748 0.8755 0.3748
0.8755 0.3748 0.3748
0.3748 0.3748 0.3748
0.3748 0.3748 0.8755
0.0000 0.0000 0.0000
0.7500 0.7500 0.7500
```

Summary:
Formation energy without anion corrections, eV/f.u.: 2.255
Density of states at the Fermi level, states/eV/atom: 1.617
SG: F-43m
DFT total energy, eV per atom: -5.740
Total moment, μB per cell: 2.0


An optimized crystal structure of CeBeCo3, computed with PBE-GGA.

The structure in POSCAR format:
```
CeBeCo3
1.0
-3.8718 -0.8210 -0.8047
1.1065 -3.4280 -1.8268
-0.3116 -1.9717 3.5111
Co Be Ce
3 1 1
direct
0.5000 0.0000 0.0000
0.0000 0.0000 0.5000
0.0000 0.5000 0.0000
0.0000 0.0000 0.0000
0.5000 0.5000 0.5000
```

Summary:
Density of states at the Fermi level, states/eV/atom: 0.516
E_form, eV per atom: -0.0881
SG: Pm-3m
DFT total energy, eV per atom: -6.284
Total moment, μB per cell: 0.8
Relative energy among the computed polymorphs, meV/atom: 0.0


An optimized crystal structure of Mg2TcOs, computed with PBE-GGA.

The structure in POSCAR format:
```
Mg2TcOs
1.0
-2.2711 -0.6445 2.4670
-1.9214 -1.7393 -2.2231
2.6545 -4.5398 1.2577
Os Tc Mg
1 1 2
direct
0.5000 0.5000 0.2500
0.5000 0.5000 0.7500
0.0000 0.0000 0.4989
0.0000 0.0000 0.0011
```

Summary:
Density of states at the Fermi level, states/eV/atom: 0.655
E_form, eV per atom: 0.4828
SG: P4/mmm
DFT total energy, eV per atom: -5.713
Total moment, μB per cell: 0.0
Relative energy among the computed polymorphs, meV/atom: 465.9


- Number 1 is which compound?
  La2Dy6Ho3Sc


- Which value of density of states at the Fermi level does entry 2 give?
  1.389 states/eV/atom